This record from the Alexandria database describes a relaxed structure of ThGa2Ru. The functional is PBE.

Properties
Density ... 9.6 g/cm³
E ... -24.55 eV for the cell shown
Size of the total moment ... 0.000 μB/f.u.
ΔH_f (0 K) ... -1.8 eV/f.u.
Space-group type ... No. 166

Cell: 4.2728 4.2728 5.7112 Å, 68.03 68.03 60.00°
With the nearest neighbours (Å) after each atom.
Element x y z (fractional)
Ga (0.2129, 0.2129, 0.3613)  3 Ru 2.57, 3 Ga 2.85
Ga (0.7871, 0.7871, 0.6387)  3 Ru 2.57, 3 Ga 2.85
Th (0.0000, 0.0000, 0.0000)  8 Ga 3.09-3.29
Ru (0.5000, 0.5000, 0.5000)  6 Ga 2.57